1.
VASP calculation (PBE-GGA) on crystalline Cs3Rb2TlCl6 at its relaxed geometry.

Properties
Raw total energy in eV per atom: -3.2932
M_tot in μB/f.u.: 0.0
Formation energy without anion corrections in eV per atom: -1.798

```
12
Lattice="10.565 -2.424 0.000 10.565 2.424 0.000 -2.244 0.000 9.430" Properties=species:S:1:pos:R:3 pbc="T T T"
Cs 0.000 0.000 0.000
Cs 5.558 0.000 6.277
Cs 13.328 0.000 3.153
Rb 6.681 0.000 1.585
Rb 12.205 0.000 7.845
Tl -1.122 0.000 4.715
Cl 2.095 0.000 5.565
Cl 3.414 0.000 0.715
Cl 9.917 0.000 2.471
Cl 8.970 0.000 6.959
Cl 15.472 0.000 8.715
Cl 16.791 0.000 3.865
```

---

2.
VASP calculation (PBE-GGA) on crystalline Li2SiSn2 at its relaxed geometry.

Properties
Raw total energy in eV per atom: -3.4219
M_tot in μB/f.u.: 0.0
Formation energy without anion corrections in eV per atom: 0.029

```
10
Lattice="7.960 0.000 0.000 0.000 7.960 0.000 0.000 0.000 3.211" Properties=species:S:1:pos:R:3 pbc="T T T"
Li 1.345 2.635 0.000
Li 2.635 6.615 0.000
Li 5.325 1.345 0.000
Li 6.615 5.325 0.000
Si 0.000 0.000 1.605
Si 3.980 3.980 1.605
Sn 1.064 5.044 1.605
Sn 2.916 1.064 1.605
Sn 5.044 6.896 1.605
Sn 6.896 2.916 1.605
```

---

3.
VASP calculation (PBE-GGA) on crystalline ThTi2V at its relaxed geometry.

Properties
Raw total energy in eV per atom: -7.9313
M_tot in μB/f.u.: 0.0
E_form in eV/atom: 0.15

```
4
Lattice="3.242 0.000 0.000 0.000 3.242 0.000 0.000 0.000 7.537" Properties=species:S:1:pos:R:3 pbc="T T T"
Th 0.000 0.000 0.000
Ti 1.621 1.621 2.347
Ti 1.621 1.621 5.190
V 0.000 0.000 3.768
```

---

4.
VASP calculation (PBE-GGA) on crystalline La7PrY2 at its relaxed geometry.

Properties
Raw total energy in eV per atom: -5.2071
M_tot in μB/f.u.: 0.0
E_form in eV/atom: 0.01

```
10
Lattice="6.383 0.000 0.000 -1.092 6.320 0.000 -3.128 -2.728 8.859" Properties=species:S:1:pos:R:3 pbc="T T T"
La 0.000 0.000 0.000
La -1.028 -1.267 6.216
La 0.008 3.239 1.756
La 1.102 0.163 3.530
La 1.061 3.429 5.329
La 2.155 0.353 7.103
La 3.191 4.859 2.643
Pr -2.110 1.796 4.429
Y -1.025 1.975 7.994
Y 3.187 1.617 0.865
```

---

5.
VASP calculation (PBE-GGA) on crystalline LiAl6Cr at its relaxed geometry.

Properties
Raw total energy in eV per atom: -4.3012
M_tot in μB/f.u.: 0.7
E_form in eV/atom: -0.05

```
8
Lattice="-2.327 2.327 5.644 2.327 -2.327 5.644 2.327 2.327 -5.644" Properties=species:S:1:pos:R:3 pbc="T T T"
Li 0.000 0.000 0.000
Al 2.327 0.000 1.315
Al 0.000 0.000 3.004
Al 2.327 0.000 4.329
Al 0.000 2.327 1.315
Al 0.000 0.000 8.284
Al 0.000 2.327 4.329
Cr 0.000 0.000 5.644
```

---

6.
VASP calculation (PBE-GGA) on crystalline BaTcBiP at its relaxed geometry.

Properties
Raw total energy in eV per atom: -6.0079
M_tot in μB/f.u.: 0.0
E_form in eV/atom: -0.61

```
8
Lattice="4.340 0.000 0.000 0.000 4.340 0.000 0.000 0.000 11.723" Properties=species:S:1:pos:R:3 pbc="T T T"
Ba 1.085 1.085 2.748
Ba 3.255 3.255 8.975
Tc 1.085 3.255 0.000
Tc 3.255 1.085 0.000
Bi 1.085 3.255 5.862
Bi 3.255 1.085 5.862
P 1.085 1.085 10.708
P 3.255 3.255 1.015
```

---

7.
VASP calculation (PBE-GGA) on crystalline CsK2Rb5 at its relaxed geometry.

Properties
Raw total energy in eV per atom: -0.9728
M_tot in μB/f.u.: 0.0
E_form in eV/atom: 0.01

```
8
Lattice="0.000 8.014 5.537 8.001 0.000 5.537 8.001 8.014 0.000" Properties=species:S:1:pos:R:3 pbc="T T T"
Cs 0.000 0.000 0.000
K 4.000 4.007 5.531
K 12.001 12.021 11.067
Rb 8.001 8.014 5.526
Rb 8.001 4.010 8.301
Rb 11.998 8.014 8.301
Rb 4.004 8.014 8.301
Rb 8.001 12.018 8.301
```

---

8.
VASP calculation (PBE-GGA) on crystalline KZrMo3 at its relaxed geometry.

Properties
Raw total energy in eV per atom: -6.3126
M_tot in μB/f.u.: 0.0
E_form in eV/atom: 2.12

```
5
Lattice="4.992 0.000 0.000 0.000 4.992 0.000 0.000 0.000 4.992" Properties=species:S:1:pos:R:3 pbc="T T T"
K 0.000 0.000 0.000
Zr 2.496 2.496 2.496
Mo 0.000 2.496 2.496
Mo 2.496 0.000 2.496
Mo 2.496 2.496 0.000
```

---

9.
VASP calculation (PBE-GGA) on crystalline Np2Ag3O8 at its relaxed geometry.

Properties
Raw total energy in eV per atom: -7.3766
M_tot in μB/f.u.: 1.0
Formation energy without anion corrections in eV per atom: -1.677

```
13
Lattice="5.997 0.000 0.000 0.137 6.160 0.000 2.485 1.299 5.738" Properties=species:S:1:pos:R:3 pbc="T T T"
Np 1.500 0.925 0.138
Np 7.120 6.534 5.601
Ag 2.781 4.072 2.683
Ag 4.241 0.650 2.869
Ag 5.839 3.387 3.055
O 3.198 7.058 4.653
O 3.372 3.626 4.723
O 2.163 2.085 1.485
O 2.592 5.513 1.007
O 6.028 1.947 4.732
O 6.457 5.374 4.253
O 5.247 3.833 1.015
O 5.422 0.401 1.086
```

---

10.
VASP calculation (PBE-GGA) on crystalline ZrGa2Re at its relaxed geometry.

Properties
Raw total energy in eV per atom: -6.6045
M_tot in μB/f.u.: 0.0
E_form in eV/atom: 0.16

```
8
Lattice="-1.960 1.960 9.644 1.960 -1.960 9.644 1.960 1.960 -9.644" Properties=species:S:1:pos:R:3 pbc="T T T"
Zr 0.000 0.000 0.000
Zr 0.000 1.960 4.822
Ga 0.980 -0.895 7.233
Ga 1.065 0.980 2.411
Ga 0.980 2.855 -2.411
Ga 0.895 0.980 12.055
Re 1.960 0.000 4.822
Re 0.000 0.000 9.644
```

---

11.
VASP calculation (PBE-GGA) on crystalline K2MnPd at its relaxed geometry.

Properties
Raw total energy in eV per atom: -3.4014
M_tot in μB/f.u.: 5.0
E_form in eV/atom: 0.74

```
4
Lattice="0.000 3.964 3.964 3.964 0.000 3.964 3.964 3.964 0.000" Properties=species:S:1:pos:R:3 pbc="T T T"
K 1.982 1.982 1.982
K 5.946 5.946 5.946
Mn 0.000 0.000 0.000
Pd 3.964 3.964 3.964
```

---

12.
VASP calculation (PBE-GGA) on crystalline Sr2RhF at its relaxed geometry.

Properties
Raw total energy in eV per atom: -4.4591
M_tot in μB/f.u.: 0.0
Formation energy without anion corrections in eV per atom: -1.312

```
4
Lattice="3.478 0.000 0.000 0.000 3.478 0.000 0.000 0.000 7.476" Properties=species:S:1:pos:R:3 pbc="T T T"
Sr 0.000 0.000 1.848
Sr 0.000 0.000 5.628
Rh 1.739 1.739 0.000
F 1.739 1.739 3.738
```

---

- M_tot of number 9 (Np2Ag3O8)?
  1.0 μB/f.u.